Record 1
The following is a DFT calculation (PBE) of a relaxed structure of Er3Fe4Ge4.

- DOS(E_F): 0.938 states/eV per atom
- Space-group type: Immm (71)
- ΔH_f (0 K): -454 meV/atom

Cell lengths 3.606, 4.139, 13.045 Å; angles 99.13, 97.95, 90.00 degrees
Positions (direct):
Ge 0.449 0.449 0.897
Ge 0.551 0.551 0.103
Ge 0.690 0.190 0.379
Ge 0.310 0.810 0.621
Fe 0.405 0.904 0.809
Fe 0.747 0.747 0.494
Fe 0.253 0.253 0.506
Fe 0.595 0.096 0.191
Er 0.856 0.356 0.712
Er 0.144 0.644 0.288
Er 0.000 0.000 0.000

=====

Record 2
The following is a DFT calculation (PBE) of a relaxed structure of Pr2MgUN4.

- DOS(E_F): 0.485 states/eV per atom
- Space-group type: P2/m (10)
- Energy: -65.196 eV per cell

Cell lengths 3.553, 5.793, 6.139 Å; angles 107.85, 90.00, 90.00 degrees
Positions (direct):
Pr 0.500 0.000 0.500
Pr 0.000 0.500 0.500
Mg 0.000 0.000 0.000
U 0.500 0.500 0.000
N 0.500 0.266 0.214
N 0.500 0.734 0.786
N 0.000 0.272 0.794
N 0.000 0.728 0.206

=====

Record 3
The following is a DFT calculation (PBE) of a relaxed structure of Cs2RbAcCl6.

- DOS(E_F): 0.000 states/eV per atom
- Space-group type: C2/m (12)
- Energy: -39.754 eV per cell

Cell lengths 8.443, 8.396, 8.317 Å; angles 120.31, 119.07, 90.00 degrees
Positions (direct):
Cs 0.223 0.247 0.494
Cs 0.777 0.753 0.506
Rb 0.500 0.000 0.000
Ac 0.000 0.500 0.000
Cl 0.340 0.728 0.455
Cl 0.165 0.195 0.869
Cl 0.835 0.326 0.131
Cl 0.165 0.674 0.869
Cl 0.835 0.805 0.131
Cl 0.660 0.272 0.545

=====

Record 4
The following is a DFT calculation (PBE) of a relaxed structure of CsSbI2O8.

- DOS(E_F): 0.000 states/eV per atom
- Space-group type: C2/m (12)
- Energy: -56.720 eV per cell

Cell lengths 5.711, 6.437, 8.106 Å; angles 58.32, 69.37, 63.66 degrees
Positions (direct):
Cs 0.500 0.500 0.500
Sb 0.000 0.000 0.000
I 0.280 0.279 0.161
I 0.720 0.721 0.839
O 0.909 0.370 0.812
O 0.679 0.542 0.101
O 0.091 0.630 0.188
O 0.321 0.458 0.899
O 0.639 0.038 0.184
O 0.361 0.962 0.816
O 0.138 0.038 0.184
O 0.862 0.962 0.816

=====

Record 5
The following is a DFT calculation (PBE) of a relaxed structure of KMgPb2.

- DOS(E_F): 1.182 states/eV per atom
- Space-group type: R-3m (166)
- ΔH_f (0 K): -13 meV/atom

Cell lengths 11.175, 11.175, 11.175 Å; angles 18.58, 18.58, 18.58 degrees
Positions (direct):
K 0.250 0.250 0.250
Mg 0.750 0.750 0.750
Pb 0.009 0.009 0.009
Pb 0.491 0.491 0.491

=====

Record 6
The following is a DFT calculation (PBE) of a relaxed structure of Hf2MgSc.

- DOS(E_F): 1.408 states/eV per atom
- Space-group type: R3m (160)
- ΔH_f (0 K): 110 meV/atom

Cell lengths 3.129, 3.129, 10.819 Å; angles 81.65, 81.65, 59.97 degrees
Positions (direct):
Hf 0.082 0.082 0.753
Hf 0.251 0.251 0.247
Mg 0.500 0.500 0.499
Sc 0.666 0.666 0.000

=====

Record 7
The following is a DFT calculation (PBE) of a relaxed structure of ErCuO.

- DOS(E_F): 0.250 states/eV per atom
- Space-group type: C2/m (12)
- Energy: -38.489 eV per cell

Cell lengths 3.282, 3.282, 8.463 Å; angles 78.60, 78.60, 90.65 degrees
Positions (direct):
O 0.808 0.808 0.388
O 0.192 0.192 0.612
Er 0.662 0.662 0.670
Er 0.338 0.338 0.330
Cu 0.753 0.247 0.000
Cu 0.247 0.753 0.000

=====

Record 8
The following is a DFT calculation (PBE) of a relaxed structure of ZrTiCrPd2.

- DOS(E_F): 1.538 states/eV per atom
- Space-group type: P4/mmm (123)
- ΔH_f (0 K): 1015 meV/atom

Cell lengths 4.862, 4.862, 4.722 Å; angles 90.00, 90.00, 90.00 degrees
Positions (direct):
Cr 0.000 0.000 0.500
Zr 0.000 0.000 0.000
Pd 0.000 0.500 0.000
Pd 0.500 0.000 0.000
Ti 0.500 0.500 0.500